{"formula": "Mg2Ga2GePt5", "functional": "PBE", "state": "optimized geometry", "final_energy_ev_per_atom": -4.983, "spacegroup": "P4/mbm (127)", "ef_ev_per_atom": -0.576, "cell": [[-0.093, -0.955, 3.591], [-8.211, -4.429, -1.392], [4.636, -7.967, -1.999]], "species": ["Pt", "Pt", "Pt", "Pt", "Pt", "Pt", "Pt", "Pt", "Pt", "Pt", "Mg", "Mg", "Mg", "Mg", "Ge", "Ge", "Ga", "Ga", "Ga", "Ga"], "frac_coords": [[0.500, 0.422, 0.304], [0.500, 0.696, 0.422], [0.500, 0.000, 0.500], [0.500, 0.922, 0.196], [0.500, 0.304, 0.578], [0.500, 0.578, 0.696], [0.500, 0.196, 0.078], [0.500, 0.500, 0.000], [0.500, 0.078, 0.804], [0.500, 0.804, 0.922], [0.000, 0.329, 0.829], [0.000, 0.829, 0.671], [0.000, 0.671, 0.171], [0.000, 0.171, 0.329], [0.000, 0.500, 0.500], [0.000, 0.000, 0.000], [0.000, 0.627, 0.873], [0.000, 0.127, 0.627], [0.000, 0.873, 0.373], [0.000, 0.373, 0.127]]}

=====

{"formula": "Rb2MgGaGe", "functional": "PBE", "state": "optimized geometry", "final_energy_ev_per_atom": -1.884, "spacegroup": "P4/mmm (123)", "ef_ev_per_atom": 0.351, "cell": [[6.875, 0.000, 0.000], [0.000, 5.026, 0.000], [0.000, 0.000, 6.875]], "species": ["Ga", "Rb", "Rb", "Ge", "Mg"], "frac_coords": [[0.500, 0.500, 0.500], [0.500, 0.000, 0.000], [0.000, 0.000, 0.500], [0.000, 0.000, 0.000], [0.000, 0.500, 0.000]]}

=====

{"formula": "Rb2MgGa4Ge3", "functional": "PBE", "state": "optimized geometry", "final_energy_ev_per_atom": -3.028, "spacegroup": "P-4m2 (115)", "ef_ev_per_atom": -0.079, "cell": [[-0.934, -4.373, 1.420], [-1.214, -1.162, -4.380], [10.472, -2.927, -2.127]], "species": ["Ga", "Ga", "Ga", "Ga", "Mg", "Ge", "Ge", "Ge", "Rb", "Rb"], "frac_coords": [[0.000, 0.000, 0.000], [0.500, 0.000, 0.637], [0.000, 0.500, 0.363], [0.500, 0.500, 0.000], [0.500, 0.500, 0.500], [0.000, 0.000, 0.500], [0.500, 0.000, 0.877], [0.000, 0.500, 0.123], [0.500, 0.000, 0.240], [0.000, 0.500, 0.760]]}